(1)
{"formula": "TlInPbBr4", "functional": "PBE", "state": "optimized geometry", "rho_g_cm3": 4.80, "dft_energy_ev_per_atom": -2.98, "lattice_angstrom": [[-2.985, 2.985, 8.210], [2.985, -2.985, 8.210], [2.985, 2.985, -8.210]], "species": ["Tl", "In", "Pb", "Br", "Br", "Br", "Br"], "frac_coords": [[0.000, 0.000, 0.000], [0.729, 0.729, 0.000], [0.369, 0.369, 0.000], [0.190, 0.190, 0.000], [0.379, 0.879, 0.500], [0.556, 0.556, 0.000], [0.879, 0.379, 0.500]]}

---

(2)
{"formula": "Tl2InPbBr5", "functional": "PBE", "state": "optimized geometry", "rho_g_cm3": 5.08, "dft_energy_ev_per_atom": -2.99, "lattice_angstrom": [[2.252, -9.609, 0.000], [2.252, 9.609, 0.000], [0.000, 0.000, 17.073]], "species": ["Tl", "Tl", "Tl", "Tl", "In", "In", "Pb", "Pb", "Br", "Br", "Br", "Br", "Br", "Br", "Br", "Br", "Br", "Br"], "frac_coords": [[0.054, 0.946, 0.500], [0.151, 0.849, 0.095], [0.849, 0.151, 0.595], [0.946, 0.054, 0.000], [0.442, 0.558, 0.279], [0.558, 0.442, 0.779], [0.259, 0.741, 0.873], [0.741, 0.259, 0.373], [0.098, 0.902, 0.903], [0.234, 0.766, 0.499], [0.261, 0.739, 0.253], [0.414, 0.586, 0.861], [0.469, 0.531, 0.611], [0.531, 0.469, 0.111], [0.586, 0.414, 0.361], [0.739, 0.261, 0.753], [0.766, 0.234, 0.999], [0.902, 0.098, 0.403]]}

---

(3)
{"formula": "TlInPb2Br8", "functional": "PBE", "state": "optimized geometry", "rho_g_cm3": 5.09, "dft_energy_ev_per_atom": -2.99, "lattice_angstrom": [[6.807, 0.000, 0.000], [0.143, 7.160, 0.000], [0.008, 0.000, 9.194]], "species": ["Tl", "In", "Pb", "Pb", "Br", "Br", "Br", "Br", "Br", "Br", "Br", "Br"], "frac_coords": [[0.000, 0.000, 0.000], [0.000, 0.000, 0.500], [0.500, 0.500, 0.255], [0.500, 0.500, 0.745], [0.227, 0.320, 0.500], [0.237, 0.853, 0.289], [0.237, 0.853, 0.710], [0.269, 0.370, 0.000], [0.731, 0.630, 0.000], [0.763, 0.147, 0.290], [0.763, 0.147, 0.711], [0.773, 0.680, 0.500]]}

---

| no. | total moment (μB/cell) |
| --- | --- |
| 1 | 0.00 |
| 2 | 0.00 |
| 3 | 0.00 |